No. 1
This record from the Alexandria database describes a crystal of LaTiMnB2 relaxed with PBEsol. The functional is SCAN.

```
5
Lattice="4.479 0.000 0.000 0.000 4.479 0.000 0.000 0.000 4.426" Properties=species:S:1:pos:R:3 pbc="T T T"
La 0.000 0.000 0.000
Ti 2.240 2.240 2.213
Mn 0.000 0.000 2.213
B 0.000 2.240 0.000
B 2.240 0.000 0.000
```

Summary:
- SG: P4/mmm (123)
- DOS(E_F): 5.47 states/eV per cell
- ΔH_f (0 K): 2166 meV per atom


No. 2
This record from the Alexandria database describes a crystal of La5B4N9 relaxed with PBEsol. The functional is SCAN.

```
72
Lattice="9.713 0.000 0.000 0.000 12.511 0.000 0.000 0.000 7.629" Properties=species:S:1:pos:R:3 pbc="T T T"
La 0.034 0.074 1.907
La 0.034 6.182 5.722
La 0.108 3.128 0.000
La 0.108 3.128 3.814
La 3.361 1.064 0.018
La 3.361 1.064 3.796
La 3.361 5.192 3.833
La 3.361 5.192 7.611
La 3.480 8.482 5.722
La 3.480 10.285 1.907
La 6.233 2.227 5.722
La 6.233 4.029 1.907
La 6.352 7.320 0.018
La 6.352 7.320 3.796
La 6.352 11.447 3.833
La 6.352 11.447 7.611
La 9.604 9.384 0.000
La 9.604 9.384 3.814
La 9.678 6.330 1.907
La 9.678 12.437 5.722
B 2.197 7.882 0.708
B 2.197 7.882 3.106
B 2.197 10.885 4.523
B 2.197 10.885 6.921
B 2.383 3.026 5.722
B 2.383 3.229 1.907
B 4.230 7.343 1.907
B 4.230 11.424 5.722
B 5.483 1.088 1.907
B 5.483 5.168 5.722
B 7.330 9.282 5.722
B 7.330 9.485 1.907
B 7.516 1.626 0.708
B 7.516 1.626 3.106
B 7.516 4.629 4.523
B 7.516 4.629 6.921
N 1.374 7.331 4.125
N 1.374 7.331 7.319
N 1.374 11.436 0.310
N 1.374 11.436 3.504
N 1.507 1.826 5.722
N 1.507 4.430 1.907
N 1.539 8.479 1.907
N 1.539 10.289 5.722
N 1.730 1.903 1.907
N 1.730 4.353 5.722
N 3.664 7.778 0.619
N 3.664 7.778 3.195
N 3.664 10.989 4.434
N 3.664 10.989 7.010
N 3.830 2.846 5.722
N 3.830 3.410 1.907
N 4.529 0.010 1.907
N 4.529 6.246 5.722
N 5.184 6.266 1.907
N 5.184 12.502 5.722
N 5.883 9.102 5.722
N 5.883 9.666 1.907
N 6.049 1.523 0.619
N 6.049 1.523 3.195
N 6.049 4.733 4.434
N 6.049 4.733 7.010
N 7.982 8.158 1.907
N 7.982 10.609 5.722
N 8.174 2.223 1.907
N 8.174 4.033 5.722
N 8.205 8.082 5.722
N 8.205 10.685 1.907
N 8.339 1.075 4.125
N 8.339 1.075 7.319
N 8.339 5.180 0.310
N 8.339 5.180 3.504
```

Summary:
- SG: Pbcm (57)
- DOS(E_F): 0.00 states/eV per cell
- ΔE_f (raw): -1.6385 eV/atom


No. 3
This record from the Alexandria database describes a crystal of La3Ni2B2N3 relaxed with PBEsol. The functional is SCAN.

```
10
Lattice="-1.858 1.858 9.883 1.858 -1.858 9.883 1.858 1.858 -9.883" Properties=species:S:1:pos:R:3 pbc="T T T"
La 0.000 0.000 0.000
La 0.000 0.000 7.314
La 0.000 0.000 12.453
Ni 1.858 0.000 4.942
Ni 0.000 1.858 4.942
B 0.000 0.000 3.957
B 0.000 0.000 15.810
N 0.000 0.000 2.511
N 0.000 0.000 9.883
N 0.000 0.000 17.256
```

Summary:
- SG: I4/mmm (139)
- DOS(E_F): 4.05 states/eV per cell
- ΔE_f (raw): -1.1902 eV/atom


No. 4
This record from the Alexandria database describes a crystal of Na3LaB2O6 relaxed with PBEsol. The functional is SCAN.

```
48
Lattice="6.673 0.000 0.000 0.000 8.803 0.000 -6.605 0.000 10.258" Properties=species:S:1:pos:R:3 pbc="T T T"
Na -0.157 1.647 1.086
Na -3.460 2.754 6.215
Na -2.013 0.582 3.997
Na -5.316 3.820 9.126
Na -3.402 6.433 8.653
Na -0.099 6.772 3.524
Na 0.167 2.032 6.734
Na 3.470 2.370 1.605
Na 5.384 4.984 1.132
Na 2.081 8.221 6.260
Na 3.528 6.049 4.042
Na 0.225 7.156 9.171
La -1.037 5.418 6.598
La 2.266 7.787 1.469
La -2.198 1.016 8.789
La 1.105 3.385 3.660
B -5.121 0.864 8.830
B -1.819 3.538 3.701
B 1.629 4.963 1.248
B -1.674 8.242 6.377
B 1.742 0.561 3.881
B -1.561 3.841 9.010
B 1.887 5.266 6.557
B 5.190 7.939 1.428
O -3.421 5.301 6.434
O -0.118 7.904 1.305
O -4.441 1.882 8.176
O -1.138 2.520 3.048
O -1.066 4.613 4.197
O -4.368 8.592 9.326
O -2.056 0.767 6.304
O 1.247 3.635 1.175
O 1.956 5.712 0.136
O -1.346 7.493 5.264
O 1.626 5.578 2.509
O -1.677 7.627 7.638
O 1.745 1.177 2.620
O -1.558 3.225 7.748
O 1.414 1.310 4.993
O -1.888 3.091 10.122
O -1.178 5.168 9.082
O 2.124 8.037 3.954
O 4.437 0.212 0.932
O 1.134 4.190 6.061
O 1.206 6.283 7.210
O 4.509 6.922 2.081
O 0.186 0.899 8.952
O 3.489 3.503 3.824
```

Summary:
- SG: P2_1/c (14)
- DOS(E_F): 0.00 states/eV per cell
- ΔE_f (raw): -2.6988 eV/atom